Model w:
The following is a PBE calculation of a geometry-optimized MnCdFe structure, from the Alexandria database.

Geometry as POSCAR:
```
MnCdFe
1.0
4.311 0.000 0.000
-2.155 3.733 0.000
0.000 0.000 2.717
Mn Fe Cd
1 1 1
Cartesian
0.000 2.489 1.358
2.155 1.244 1.359
0.000 0.000 0.001
```

***

Model x:
The following is a PBE calculation of a geometry-optimized MnCdFe structure, from the Alexandria database.

Geometry as POSCAR:
```
MnCdFe
1.0
4.231 0.000 0.000
2.116 3.665 0.000
2.116 1.222 3.455
Mn Fe Cd
1 1 1
Cartesian
6.347 3.665 2.591
4.231 2.443 1.728
0.000 0.000 0.000
```

***

Model y:
The following is a PBE calculation of a geometry-optimized MnCdFe structure, from the Alexandria database.

Geometry as POSCAR:
```
MnCdFe
1.0
6.041 -0.002 0.000
4.768 3.709 0.000
-5.405 -1.854 1.962
Mn Fe Cd
1 1 1
Cartesian
7.438 2.551 0.000
3.401 1.167 0.000
10.779 3.697 0.000
```

***

Question: which arrangement is favored energetically? Ranking from most to least stable: model y, model w, model x.

***

Model w:
The following is a PBE calculation of a geometry-optimized MnCd2Fe structure, from the Alexandria database.

Geometry as POSCAR:
```
MnCd2Fe
1.0
-0.597 -2.775 0.515
0.845 -0.679 -2.674
7.394 -1.106 2.618
Cd Mn Fe
2 1 1
Cartesian
7.182 -1.074 2.543
2.229 -2.042 -0.334
5.366 -2.511 0.777
3.956 -0.592 1.401
```

***

Model x:
The following is a PBE calculation of a geometry-optimized MnCd2Fe structure, from the Alexandria database.

Geometry as POSCAR:
```
MnCd2Fe
1.0
5.014 -0.008 0.000
1.798 4.680 0.000
-3.406 -2.336 2.843
Mn Fe Cd
1 1 2
Cartesian
2.507 -0.004 1.421
3.406 2.336 0.000
0.000 0.000 0.000
0.899 2.340 1.421
```

***

Question: which arrangement is favored energetically? Ranking from most to least stable: model w, model x.

***

Model w:
The following is a PBE calculation of a geometry-optimized MnCd2Fe structure, from the Alexandria database.

Geometry as POSCAR:
```
MnCd2Fe
1.0
4.071 0.000 0.000
0.000 4.075 0.000
0.000 0.000 4.013
Cd Fe Mn
2 1 1
Cartesian
0.000 0.000 0.000
2.036 2.037 0.000
2.036 0.000 2.006
0.000 2.037 2.006
```

***

Model x:
The following is a PBE calculation of a geometry-optimized MnCd2Fe structure, from the Alexandria database.

Geometry as POSCAR:
```
MnCd2Fe
1.0
6.424 0.000 0.000
-2.562 4.201 0.016
1.299 0.779 2.453
Cd Mn Fe
2 1 1
Cartesian
0.000 0.000 0.000
3.861 0.389 1.226
1.931 2.100 0.008
-0.632 2.490 1.234
```

***

Question: which arrangement is favored energetically? Ranking from most to least stable: model w, model x.

***

Model w:
The following is a PBE calculation of a geometry-optimized MnCd2Fe structure, from the Alexandria database.

Geometry as POSCAR:
```
MnCd2Fe
1.0
5.487 0.134 0.384
4.658 2.904 0.384
1.773 0.531 4.534
Cd Mn Fe
2 1 1
Cartesian
2.948 0.883 1.566
1.767 0.529 4.323
9.174 2.748 4.092
5.759 1.725 2.508
```

***

Model x:
The following is a PBE calculation of a geometry-optimized MnCd2Fe structure, from the Alexandria database.

Geometry as POSCAR:
```
MnCd2Fe
1.0
4.948 -0.012 0.008
1.628 4.672 -0.008
-3.291 -2.326 2.871
Cd Fe Mn
2 1 1
Cartesian
0.000 0.000 0.000
3.288 2.330 0.000
2.472 -0.004 1.440
0.813 2.338 1.431
```

***

Model y:
The following is a PBE calculation of a geometry-optimized MnCd2Fe structure, from the Alexandria database.

Geometry as POSCAR:
```
MnCd2Fe
1.0
-0.591 -2.024 1.991
3.757 1.724 2.868
-0.464 4.086 4.016
Fe Cd Mn
1 2 1
Cartesian
1.351 1.893 4.437
0.000 0.000 0.000
1.583 -0.150 2.430
-0.232 2.043 2.008
```

***

Question: which arrangement is favored energetically? Ranking from most to least stable: model w, model x, model y.

***

Model w:
The following is a PBE calculation of a geometry-optimized MnCd2Fe structure, from the Alexandria database.

Geometry as POSCAR:
```
MnCd2Fe
1.0
-3.461 1.763 -2.480
-1.888 -1.320 1.696
-0.107 4.054 3.030
Fe Cd Mn
1 2 1
Cartesian
-1.230 1.117 2.511
-1.997 1.920 -0.129
-0.339 3.700 3.103
-2.993 3.180 2.155
```

***

Model x:
The following is a PBE calculation of a geometry-optimized MnCd2Fe structure, from the Alexandria database.

Geometry as POSCAR:
```
MnCd2Fe
1.0
9.543 0.014 0.008
9.097 2.885 0.008
9.097 1.415 2.514
Mn Cd Fe
1 2 1
Cartesian
20.803 3.236 1.898
13.911 2.164 1.269
27.695 4.308 2.527
6.934 1.079 0.633
```

***

Question: which arrangement is favored energetically? Ranking from most to least stable: model w, model x.